# YZrCS (PBE-GGA, optimized geometry)
# calculated volume = 17.2 A^3/atom
# total DFT energy (no corrections) = -8.34 eV per atom
# energy relative to the elements, uncorrected = -1.247 eV/atom
# spin magnetization = 0.0 Bohr magnetons per cell
data_YZrCS
_chemical_formula_sum 'Y3 Zr3 C3 S3'
_symmetry_space_group_name_H-M 'R 3 m'
_symmetry_Int_Tables_number 160
_symmetry_space_group_name_Hall 'R 3 -2"'
_cell_length_a 3.5322
_cell_length_b 3.5322
_cell_length_c 19.1463
_cell_angle_alpha 90.00
_cell_angle_beta 90.00
_cell_angle_gamma 120.00
loop_
_atom_site_label
_atom_site_fract_x
_atom_site_fract_y
_atom_site_fract_z
Y1 0.0000 0.0000 0.0000
Zr1 0.0000 0.0000 0.1966
C1 0.0000 0.0000 0.5889
S1 0.0000 0.0000 0.7697